No. 1
Entry from the Alexandria database: a relaxed structure of Li4Mg3Tl (PBE).

The space group is C2/m (No. 12) and the conventional cell measures 19.504, 3.736 and 4.748 Å, with angles of 90.00, 103.75 and 90.00 degrees. The inequivalent atoms are Li at (0.124, 0.000, 0.126), Li at (0.244, 0.500, 0.243), Mg at (0.000, 0.500, 0.000), Mg at (0.130, 0.500, 0.633) and Tl at (0.000, 0.000, 0.500).

The calculation puts the density of states at the Fermi level at 2.94 states/eV/f.u. Its calculated formation energy is -0.07 eV per atom. Its spin magnetization is 0.000 μB per cell. Its energy above the most stable polymorph in this dataset is 0.0381 eV per atom.


No. 2
Entry from the Alexandria database: a relaxed structure of NaPrTcO6 (PBE).

The space group is P1 (No. 1) and the conventional cell measures 4.943, 5.579 and 5.605 Å, with angles of 60.21, 89.15 and 88.14 degrees. The inequivalent atoms are Na at (0.000, 0.000, 0.000), Pr at (0.500, 0.674, 0.653), Tc at (0.999, 0.322, 0.356), O at (0.188, 0.601, 0.013), O at (0.216, 0.050, 0.339), O at (0.234, 0.352, 0.583), O at (0.763, 0.066, 0.584), O at (0.781, 0.613, 0.337) and O at (0.814, 0.388, 0.011).

Its spin magnetization is 1.057 μB per cell. Its formation energy (no corrections) is -1.7476 eV per atom.


No. 3
Entry from the Alexandria database: a relaxed structure of CeCd4Pt4 (PBE).

The space group is P4_2/n (No. 86, origin choice 2) and the conventional cell measures 8.760, 8.760 and 5.436 Å, with angles of 90.00, 90.00 and 90.00 degrees. The inequivalent atoms are Ce at (0.250, 0.250, 0.250), Cd at (0.088, 0.654, 0.147) and Pt at (0.023, 0.618, 0.653).

The calculation puts the density of states at the Fermi level at 7.02 states/eV/f.u. Its calculated formation energy is -0.32 eV per atom. Its spin magnetization is 0.364 μB per cell.


No. 4
Entry from the Alexandria database: a relaxed structure of Li5Pd6Pt (PBE).

The space group is C2/m (No. 12) and the conventional cell measures 13.391, 6.129 and 4.273 Å, with angles of 90.00, 108.32 and 90.00 degrees. The inequivalent atoms are Li at (0.000, 0.000, 0.000), Li at (0.154, 0.500, 0.654), Li at (0.171, 0.000, 0.671), Pd at (0.000, 0.231, 0.500), Pd at (0.170, 0.239, 0.170) and Pt at (0.000, 0.500, 0.000).

The calculation puts the density of states at the Fermi level at 8.14 states/eV/f.u. Its calculated formation energy is -0.38 eV per atom. Its spin magnetization is 0.000 μB per cell.